No. 1
Compound: BaAcTl4
Source: Alexandria via LeMat-Bulk
Functional: PBE-GGA
Structure: optimized geometry

Calculated values
V	213	Å³/cell
total DFT energy (no corrections)	-2.911	eV/atom
relative energy among the computed polymorphs	0.00	kcal/mol of atoms
energy of formation from the pure elements	-0.329	eV per atom

Cell: 5.283 5.285 8.796 Å, 89.84 89.96 60.12°
Space group P-1 (No. 2)
Unique sites:
Ba1 0.000 0.000 0.000
Ac1 0.000 0.000 0.500
Tl1 0.333 0.334 0.229
Tl2 0.334 0.333 0.676

No. 2
Compound: Y2PI4
Source: Alexandria via LeMat-Bulk
Functional: PBE-GGA
Structure: optimized geometry

Calculated values
V	517	Å³/cell
total DFT energy (no corrections)	-3.637	eV/atom
raw formation energy	-0.132	eV/atom

Cell: 5.639 5.639 16.276 Å, 90.00 90.00 90.00°
Space group I4/mmm (No. 139)
Unique sites:
Y1 0.000 0.000 0.104
P1 0.000 0.000 0.500
I1 0.000 0.000 0.286
I2 0.000 0.500 0.000

No. 3
Compound: LaPr2Tl2Cd2
Source: Alexandria via LeMat-Bulk
Functional: PBE-GGA
Structure: optimized geometry

Calculated values
V	620	Å³/cell
total DFT energy (no corrections)	-3.231	eV/atom
energy of formation from the pure elements	-0.224	eV per atom

Cell: 5.0776 5.0776 27.7550 Å, 90.00 90.00 120.00°
Space group R-3m (No. 166, hexagonal axes)
Unique sites:
La1 0.0000 0.0000 0.0000
Pr1 0.0000 0.0000 0.1327
Tl1 0.0000 0.0000 0.2689
Cd1 0.0000 0.0000 0.4196

No. 4
Compound: LaCdTePH
Source: Alexandria via LeMat-Bulk
Functional: PBE-GGA
Structure: optimized geometry

Calculated values
V	234	Å³/cell
total DFT energy (no corrections)	-4.086	eV/atom
relative energy among the computed polymorphs	3.73	kcal/mol of atoms

Cell: 7.600 4.295 7.920 Å, 90.00 115.19 90.00°
Space group Cm (No. 8)
Unique sites:
La1 0.000 0.000 0.000
Cd1 0.462 0.000 0.584
Te1 0.297 0.500 0.278
P1 0.211 0.000 0.744
H1 0.321 0.000 0.964

No. 5
Compound: NaPrNp2Se4
Source: Alexandria via LeMat-Bulk
Functional: PBE-GGA
Structure: optimized geometry

Calculated values
V	208	Å³/cell
total DFT energy (no corrections)	-7.040	eV/atom
raw formation energy	-1.300	eV/atom

Cell: 7.275 4.160 7.301 Å, 90.00 109.40 90.00°
Space group P2/m (No. 10)
Unique sites:
Na1 0.000 0.000 0.000
Pr1 0.000 0.500 0.500
Np1 0.500 0.000 0.500
Np2 0.500 0.500 0.000
Se1 0.259 0.000 0.758
Se2 0.259 0.500 0.253

No. 6
Compound: BaTe2O6
Source: Alexandria via LeMat-Bulk
Functional: PBE-GGA
Structure: optimized geometry

Calculated values
V	555	Å³/cell
total DFT energy (no corrections)	-5.747	eV/atom
relative energy among the computed polymorphs	0.00	kcal/mol of atoms
raw formation energy	-1.530	eV/atom

Cell: 5.662 13.132 7.459 Å, 90.00 90.00 90.00°
Space group Cmcm (No. 63)
Unique sites:
Ba1 0.000 0.222 0.250
Te1 0.000 0.085 0.750
Te2 0.000 0.500 0.000
O1 0.000 0.226 0.750
O2 0.000 0.451 0.750
O3 0.237 0.395 0.045